(1)
First-principles (PBE) data for Cr2CuRh after structural relaxation, as listed in Alexandria.

Geometry as extended XYZ:
```
4
Lattice="4.559 -0.064 0.174 3.753 2.588 0.174 0.901 0.274 4.420" Properties=species:S:1:pos:R:3 pbc="T T T"
Rh 2.352 0.714 1.172
Cu 4.594 1.395 2.416
Cr 0.049 0.015 0.012
Cr 6.825 2.073 3.553
```

---

(2)
First-principles (PBE) data for CrCuRh3 after structural relaxation, as listed in Alexandria.

Geometry as extended XYZ:
```
10
Lattice="4.266 0.000 0.000 0.000 4.285 -1.925 0.000 0.538 7.048" Properties=species:S:1:pos:R:3 pbc="T T T"
Cr 0.066 2.909 2.305
Cr 2.199 1.124 5.968
Cu 0.066 0.234 2.036
Cu 2.199 3.262 -0.811
Rh 0.066 1.293 4.419
Rh 0.066 4.062 4.733
Rh 2.199 1.592 1.380
Rh 2.199 4.256 1.615
Rh 2.199 2.740 3.854
Rh 0.066 1.903 -0.155
```

Properties
polymorph energy (0 for the lowest one)	0	meV/atom

---

Number 1: VASP energy -7.5330 eV/atom. Number 2: VASP energy -7.1691 eV/atom.